Entry 1:
Below is an optimized crystal structure of Cs2Na2Pb, with properties calculated at the PBE-GGA level.

```
Cs2Na2Pb
1.0
6.8383 -4.1776 0.0000
6.8383 4.1776 0.0000
-2.5870 0.0000 9.2325
Cs Na Pb
4 4 2
direct
0.0562 0.2599 0.1389
0.2599 0.0562 0.6389
0.7401 0.9438 0.3611
0.9438 0.7401 0.8611
0.3126 0.5078 0.5266
0.4922 0.6874 0.9734
0.5078 0.3126 0.0266
0.6874 0.4922 0.4734
0.3084 0.6916 0.2500
0.6916 0.3084 0.7500
```

Properties
DFT formation energy: -0.069 eV/atom
ΔE to the lowest computed polymorph: 0.0 kJ/mol of atoms
size of the total moment: 0.0 μB per formula unit

Entry 2:
Below is an optimized crystal structure of Ba4AgIr, with properties calculated at the PBE-GGA level.

```
Ba4AgIr
1.0
5.1449 -8.3633 0.0000
5.1449 8.3633 0.0000
-4.7887 0.0000 6.2334
Ba Ag Ir
8 2 2
direct
0.0483 0.6305 0.8340
0.1986 0.2740 0.7331
0.2740 0.1986 0.2331
0.3695 0.9517 0.6660
0.6305 0.0483 0.3340
0.7260 0.8014 0.7669
0.8014 0.7260 0.2669
0.9517 0.3695 0.1660
0.3732 0.6268 0.2500
0.6268 0.3732 0.7500
0.0832 0.9168 0.7500
0.9168 0.0832 0.2500
```

Properties
DFT formation energy: -0.157 eV/atom
ΔE to the lowest computed polymorph: 0.0 kJ/mol of atoms
size of the total moment: 0.0 μB per formula unit

Entry 3:
Below is an optimized crystal structure of RbHPdO2, with properties calculated at the PBE-GGA level.

```
RbHPdO2
1.0
4.7623 0.0000 0.0000
0.0000 5.0175 0.0000
-0.0285 0.0000 6.3900
Rb H Pd O
2 2 2 4
direct
0.0000 0.0018 0.2500
0.0000 0.9982 0.7500
0.5000 0.0000 0.0000
0.5000 0.0000 0.5000
0.5000 0.5002 0.2500
0.5000 0.4998 0.7500
0.4980 0.2402 0.0000
0.4980 0.7598 0.5000
0.5020 0.2402 0.5000
0.5020 0.7598 0.0000
```

Properties
calculated total energy: -23.754 eV/f.u.
size of the total moment: 0.0 μB per formula unit

Entry 4:
Below is an optimized crystal structure of Ce2GePd, with properties calculated at the PBE-GGA level.

```
Ce2GePd
1.0
3.8240 0.0000 0.0000
0.0000 3.8240 0.0000
0.0000 0.0000 6.1877
Ce Ge Pd
2 1 1
direct
0.0000 0.0000 0.2325
0.0000 0.0000 0.7675
0.5000 0.5000 0.0000
0.5000 0.5000 0.5000
```

Properties
DFT formation energy: -0.643 eV/atom
size of the total moment: 1.5 μB per formula unit

Entry 5:
Below is an optimized crystal structure of Ac4La2Y5, with properties calculated at the PBE-GGA level.

```
Ac4La2Y5
1.0
10.0525 -3.0342 0.0000
10.0525 3.0342 0.0000
-0.4053 0.0000 6.7819
Ac La Y
4 2 5
direct
0.0534 0.0534 0.2665
0.3205 0.3205 0.8963
0.6795 0.6795 0.1037
0.9466 0.9466 0.7335
0.4156 0.4156 0.4084
0.5844 0.5844 0.5916
0.1413 0.1413 0.7890
0.2433 0.2433 0.3686
0.5000 0.5000 0.0000
0.7567 0.7567 0.6314
0.8587 0.8587 0.2110
```

Properties
DFT formation energy: 0.091 eV/atom
size of the total moment: 0.0 μB per formula unit

Entry 6:
Below is an optimized crystal structure of ZnWBr2, with properties calculated at the PBE-GGA level.

```
ZnWBr2
1.0
4.6288 0.0000 0.0000
0.0000 4.6288 0.0000
0.0000 0.0000 4.0394
Zn W Br
1 1 2
direct
0.0000 0.0000 0.0000
0.5000 0.5000 0.0000
0.0000 0.5000 0.5000
0.5000 0.0000 0.5000
```

Properties
raw formation energy: 112.6 kJ per mole of atoms
ΔE to the lowest computed polymorph: 98.3 kJ/mol of atoms
size of the total moment: 3.7 μB per formula unit